Ta2AlTc | PBE | relaxed

The calculation puts the density of states at the Fermi level at 5.614 states/eV per cell. Its formation energy from the elements is -0.2612 eV per atom.

It has space group Immm (No. 71), with a = 3.308 Å, b = 4.481 Å, c = 8.925 Å, α = 90.00°, β = 90.00° and γ = 90.00°. The asymmetric unit holds Ta at (0.000, 0.000, 0.234), Al at (0.000, 0.500, 0.000) and Tc at (0.000, 0.500, 0.500).